Computed, not measured: a relaxed BaCaHg14 crystal at the GGA-PBE level of DFT.

abc: 7.0501 7.0501 8.9317
angles: 90.00 90.00 90.00
Closest atoms and distances in Å follow each position.
Space group P4/mmm (No. 123)
Unique sites:
Ba: 0.0000 0.0000 0.0000 (multiplicity 1)  12 Hg 3.50-3.53
Ca: 0.5000 0.5000 0.0000 (multiplicity 1)  12 Hg 3.35-3.53
Hg: 0.0000 0.0000 0.5000 (multiplicity 1)  12 Hg 3.35-3.53
Hg: 0.0000 0.5000 0.0000 (multiplicity 2)  8 Hg 3.43, 2 Ca 3.53, 2 Ba 3.53
Hg: 0.0000 0.5000 0.5000 (multiplicity 2)  12 Hg 3.27-3.53
Hg: 0.2601 0.2601 0.2629 (multiplicity 8)  8 Hg 3.20-3.43, 1 Ca 3.35, 1 Ba 3.50
Hg: 0.5000 0.5000 0.5000 (multiplicity 1)  12 Hg 3.20-3.53

Values from the calculation:
N(E_F)   5.3 states/eV/f.u.
Total magnetization   0.000 μB per atom
ΔH_f (0 K)   -0.2078 eV per atom

---

Computed, not measured: a relaxed CsTlPtPb crystal at the GGA-PBE level of DFT.

abc: 4.4970 4.4970 24.2771
angles: 90.00 90.00 120.00
Closest atoms and distances in Å follow each position.
Space group R3m (No. 160, hexagonal axes)
Unique sites:
Cs: 0.0000 0.0000 0.0000 (multiplicity 3)  3 Tl 3.81, 3 Pb 3.89, 1 Pt 4.12
Tl: 0.0000 0.0000 0.2186 (multiplicity 3)  3 Pt 2.92
Pt: 0.0000 0.0000 0.8305 (multiplicity 3)  3 Pb 2.81, 3 Tl 2.92
Pb: 0.0000 0.0000 0.4529 (multiplicity 3)  3 Pt 2.81

Values from the calculation:
N(E_F)   3.6 states/eV/f.u.
Total magnetization   0.000 μB per atom
ΔH_f (0 K)   -0.1600 eV per atom